This record from OQMD via LeMat-Bulk describes a geometry-optimized NbSiIr structure. The functional is PBE.

Output
VASP energy: -26.6 eV/f.u.
spin magnetization: 0.01 μB per cell
crystal system: hexagonal

a b c (Å): 6.407 6.407 3.827
angles (deg): 90.00 90.00 120.00
Fractional positions:
Ir (0.000, 0.255, 0.000)
Ir (0.255, 0.000, 0.000)
Ir (0.745, 0.745, 0.000)
Nb (0.415, 0.415, 0.500)
Nb (0.585, 0.000, 0.500)
Nb (0.000, 0.585, 0.500)
Si (0.333, 0.667, 0.000)
Si (0.000, 0.000, 0.500)
Si (0.667, 0.333, 0.000)


This record from OQMD via LeMat-Bulk describes a geometry-optimized AcSi3Ni structure. The functional is PBE.

Output
VASP energy: -28.8 eV/f.u.
spin magnetization: 0.00 μB per cell
crystal system: orthorhombic

a b c (Å): 5.693 5.693 6.139
angles (deg): 90.00 90.00 114.56
Fractional positions:
Ac (0.767, 0.233, 0.750)
Ac (0.233, 0.767, 0.250)
Si (0.874, 0.126, 0.250)
Si (0.717, 0.717, 0.500)
Si (0.126, 0.874, 0.750)
Si (0.283, 0.283, 0.000)
Si (0.283, 0.283, 0.500)
Si (0.717, 0.717, 0.000)
Ni (0.379, 0.621, 0.750)
Ni (0.621, 0.379, 0.250)


This record from OQMD via LeMat-Bulk describes a geometry-optimized ZrZn structure. The functional is PBE.

Output
calculated formation energy: -0.2829 eV per atom
VASP energy: -10.4 eV/f.u.
spin magnetization: 0.00 μB per cell
crystal system: cubic

a b c (Å): 3.336 3.336 3.336
angles (deg): 90.00 90.00 90.00
Fractional positions:
Zr (0.500, 0.500, 0.500)
Zn (0.000, 0.000, 0.000)


This record from OQMD via LeMat-Bulk describes a geometry-optimized Be3Hg2Mo2 structure. The functional is PBE.

Output
VASP energy: -29.5 eV/f.u.
spin magnetization: 1.85 μB per cell
crystal system: trigonal

a b c (Å): 7.161 7.161 7.161
angles (deg): 33.64 33.64 33.64
Fractional positions:
Be (0.376, 0.376, 0.376)
Be (0.874, 0.874, 0.874)
Be (0.625, 0.625, 0.625)
Hg (0.247, 0.247, 0.247)
Hg (0.753, 0.753, 0.753)
Mo (0.002, 0.002, 0.002)
Mo (0.498, 0.498, 0.498)